(1)
# Pm3InS

A relaxed structure of Pm3InS (PBE-GGA, the Alexandria database).

Values from the calculation:
VASP energy: -5.12 eV per atom
space group: Pm-3m
Fermi-level density of states: 0.743 states/eV per atom

a = 5.339 Å, b = 5.339 Å, c = 5.339 Å
α = 90.00°, β = 90.00°, γ = 90.00°
Fractional coordinates of all 5 atoms:
Pm 0.000 0.000 0.500
Pm 0.000 0.500 0.000
Pm 0.500 0.000 0.000
In 0.500 0.500 0.500
S 0.000 0.000 0.000

***

(2)
# AsSO2F

A relaxed structure of AsSO2F (PBE-GGA, the Alexandria database).

Values from the calculation:
VASP energy: -4.24 eV per atom
space group: P4/mmm
Fermi-level density of states: 0.244 states/eV per atom

a = 3.874 Å, b = 3.874 Å, c = 4.279 Å
α = 90.00°, β = 90.00°, γ = 90.00°
Fractional coordinates of all 5 atoms:
As 0.000 0.000 0.000
S 0.500 0.500 0.500
O 0.000 0.500 0.000
O 0.500 0.000 0.000
F 0.000 0.000 0.500

***

(3)
# UCuRu2

A relaxed structure of UCuRu2 (PBE-GGA, the Alexandria database).

Values from the calculation:
VASP energy: -8.19 eV per atom
space group: R-3m
Fermi-level density of states: 1.365 states/eV per atom
energy of formation: 28.20 kJ per mole of atoms

a = 9.229 Å, b = 9.229 Å, c = 9.229 Å
α = 17.51°, β = 17.51°, γ = 17.51°
Fractional coordinates of all 4 atoms:
U 0.000 0.000 0.000
Cu 0.500 0.500 0.500
Ru 0.245 0.245 0.245
Ru 0.755 0.755 0.755

***

(4)
# ZnFe2HPd

A relaxed structure of ZnFe2HPd (PBE-GGA, the Alexandria database).

Values from the calculation:
VASP energy: -4.58 eV per atom
space group: P4/mmm
Fermi-level density of states: 1.222 states/eV per atom

a = 4.723 Å, b = 4.723 Å, c = 2.999 Å
α = 90.00°, β = 90.00°, γ = 90.00°
Fractional coordinates of all 5 atoms:
Zn 0.000 0.000 0.000
Fe 0.000 0.500 0.000
Fe 0.500 0.000 0.000
H 0.000 0.000 0.500
Pd 0.500 0.500 0.500

***

(5)
# Tb6Pm2Pr3Pu

A relaxed structure of Tb6Pm2Pr3Pu (PBE-GGA, the Alexandria database).

Values from the calculation:
VASP energy: -5.45 eV per atom
space group: C2/m
Fermi-level density of states: 1.950 states/eV per atom
energy of formation: 4.34 kJ per mole of atoms

a = 6.255 Å, b = 6.255 Å, c = 11.840 Å
α = 95.06°, β = 95.06°, γ = 120.05°
Fractional coordinates of all 12 atoms:
Tb 0.082 0.410 0.246
Tb 0.247 0.247 0.754
Tb 0.410 0.082 0.246
Tb 0.590 0.918 0.754
Tb 0.753 0.753 0.246
Tb 0.918 0.590 0.754
Pm 0.333 0.667 0.000
Pm 0.667 0.333 0.000
Pr 0.167 0.833 0.500
Pr 0.500 0.500 0.500
Pr 0.833 0.167 0.500
Pu 0.000 0.000 0.000

***

(6)
# AlSi2Te

A relaxed structure of AlSi2Te (PBE-GGA, the Alexandria database).

Values from the calculation:
VASP energy: -4.30 eV per atom
space group: R3m
Fermi-level density of states: 0.213 states/eV per atom

a = 7.030 Å, b = 7.030 Å, c = 7.030 Å
α = 31.78°, β = 31.78°, γ = 31.78°
Fractional coordinates of all 4 atoms:
Al 0.000 0.000 0.000
Si 0.467 0.467 0.467
Si 0.755 0.755 0.755
Te 0.254 0.254 0.254